Here is an optimized crystal structure of MgBe2CdTc from the Alexandria database. Energies are from PBE.

Summary:
DFT total energy	-3.269	eV per atom
space group	P4/mmm (123)

Unit cell a=4.307 b=4.307 c=5.089 alpha=90.00 beta=90.00 gamma=90.00
Element x y z (fractional)
Mg 0.000 0.000 0.000
Be 0.000 0.500 0.500
Be 0.500 0.000 0.500
Cd 0.500 0.500 0.000
Tc 0.500 0.500 0.500